Entry 1:
First-principles (PBE) data for a relaxed Ag2Te2Cl crystal, as listed in the Alexandria database.

Unit cell a=6.7482 b=6.7888 c=7.4782 alpha=70.06 beta=71.13 gamma=67.44
Closest atoms and distances in Å follow each position.
Space group P-1 (No. 2)
Unique sites:
1 Ag 0.1025 0.4873 0.2992 x2  1 Cl 2.71, 3 Te 2.76-2.98, 1 Ag 2.91
2 Ag 0.2253 0.8904 0.7584 x2  2 Cl 2.61-2.88, 3 Te 2.79-2.86
3 Te 0.2275 0.4525 0.8877 x2  3 Ag 2.79-2.98, 2 Te 2.92-3.11
4 Te 0.3953 0.2390 0.5374 x2  3 Ag 2.76-2.86
5 Cl 0.1881 0.8783 0.1562 x2  3 Ag 2.61-2.88

Calculated values
As for the distance to the lowest polymorph of the same formula: 12 meV/atom. The uncorrected formation energy comes out at -0.154 eV/atom.


Entry 2:
First-principles (PBE) data for a relaxed AcAlPt2O8 crystal, as listed in the Alexandria database.

Unit cell a=5.7262 b=5.7262 c=6.9589 alpha=90.00 beta=90.00 gamma=120.00
Closest atoms and distances in Å follow each position.
Space group P-3m1 (No. 164)
Unique sites:
1 Ac 0.0000 0.0000 0.0000 x1  6 O 2.61
2 Al 0.0000 0.0000 0.5000 x1  6 O 1.89
3 Pt 0.3333 0.6667 0.3000 x2  4 O 1.91-1.92
4 O 0.1407 0.2813 0.3164 x6  1 Al 1.89, 1 Pt 1.91
5 O 0.3333 0.6667 0.0247 x2  1 Pt 1.92

Calculated values
The uncorrected formation energy comes out at -1.079 eV/atom.


Entry 3:
First-principles (PBE) data for a relaxed Ca2PmSm crystal, as listed in the Alexandria database.

Unit cell a=3.5993 b=3.5993 c=39.9840 alpha=90.00 beta=90.00 gamma=120.00
Closest atoms and distances in Å follow each position.
Space group R-3m (No. 166, hexagonal axes)
Unique sites:
1 Ca 0.0000 0.0000 0.0883 x6  1 Pm 3.53, 6 Ca 3.60, 3 Sm 3.76
2 Pm 0.0000 0.0000 0.0000 x3  2 Ca 3.53, 6 Pm 3.60
3 Sm 0.0000 0.0000 0.5000 x3  6 Sm 3.60, 6 Ca 3.76

Calculated values
As for the distance to the lowest polymorph of the same formula: 175 meV/atom. The formation energy from the elements comes out at 0.864 eV per formula unit.


Entry 4:
First-principles (PBE) data for a relaxed Ni4IrPt4 crystal, as listed in the Alexandria database.

Unit cell a=8.1013 b=8.1013 c=3.7506 alpha=90.00 beta=90.00 gamma=90.00
Closest atoms and distances in Å follow each position.
Space group I4/mmm (No. 139)
Unique sites:
1 Ni 0.1622 0.1622 0.0000 x8  4 Ni 2.63-2.75, 2 Ir 2.64, 6 Pt 2.64-2.74
2 Ir 0.0000 0.0000 0.5000 x2  4 Pt 2.63, 8 Ni 2.64
3 Pt 0.0000 0.3244 0.5000 x8  1 Ir 2.63, 6 Ni 2.64-2.74, 5 Pt 2.75-2.85

Calculated values
The formation energy from the elements comes out at -0.359 eV per formula unit.


Entry 5:
First-principles (PBE) data for a relaxed Tl2AgPt crystal, as listed in the Alexandria database.

Unit cell a=9.2883 b=9.2883 c=5.3857 alpha=90.00 beta=90.00 gamma=90.00
Closest atoms and distances in Å follow each position.
Space group I-42d (No. 122)
Unique sites:
1 Tl 0.1370 0.2500 0.1250 x8  2 Pt 2.73
2 Ag 0.0000 0.0000 0.5000 x4  2 Pt 2.69
3 Pt 0.0000 0.0000 0.0000 x4  2 Ag 2.69, 4 Tl 2.73

Calculated values
As for the distance to the lowest polymorph of the same formula: 99 meV/atom. The formation energy from the elements comes out at 0.651 eV per formula unit.


Entry 6:
First-principles (PBE) data for a relaxed Y3SnHg crystal, as listed in the Alexandria database.

Unit cell a=5.5667 b=5.5667 c=5.5667 alpha=90.00 beta=90.00 gamma=90.00
Closest atoms and distances in Å follow each position.
Space group Pm-3m (No. 221)
Unique sites:
1 Y 0.0000 0.0000 0.5000 x3  2 Hg 2.78
2 Sn 0.5000 0.5000 0.5000 x1  12 Y 3.94
3 Hg 0.0000 0.0000 0.0000 x1  6 Y 2.78

Calculated values
As for the distance to the lowest polymorph of the same formula: 499 meV/atom. The formation energy from the elements comes out at -0.018 eV per formula unit.


Entry 7:
First-principles (PBE) data for a relaxed BaCa2La crystal, as listed in the Alexandria database.

Unit cell a=13.3100 b=3.8821 c=6.9522 alpha=90.00 beta=99.29 gamma=90.00
Closest atoms and distances in Å follow each position.
Space group C2/m (No. 12)
Unique sites:
1 Ba 0.0000 0.0000 0.0000 x2  2 Ba 3.88, 6 Ca 3.98-4.08, 4 La 3.98
2 Ca 0.2445 0.0000 0.7377 x4  6 Ca 3.86-4.11, 3 La 3.92-4.01, 3 Ba 3.98-4.08
3 La 0.0000 0.5000 0.5000 x2  2 La 3.88, 6 Ca 3.92-4.01, 4 Ba 3.98

Calculated values
As for the distance to the lowest polymorph of the same formula: 43 meV/atom. The formation energy from the elements comes out at 0.470 eV per formula unit.


Entry 8:
First-principles (PBE) data for a relaxed Pm5Te7 crystal, as listed in the Alexandria database.

Unit cell a=14.6491 b=4.3379 c=13.4460 alpha=90.00 beta=104.32 gamma=90.00
Closest atoms and distances in Å follow each position.
Space group C2/m (No. 12)
Unique sites:
1 Pm 0.0000 0.0000 0.0000 x2  6 Te 3.10-3.15
2 Pm 0.1153 0.0000 0.4235 x4  6 Te 3.08-3.25
3 Pm 0.2006 0.5000 0.8120 x4  7 Te 3.17-3.37
4 Te 0.0000 0.5000 0.5000 x2  4 Pm 3.08
5 Te 0.0381 0.0000 0.7835 x4  4 Pm 3.10-3.17
6 Te 0.1612 0.5000 0.0483 x4  5 Pm 3.15-3.37
7 Te 0.2423 0.5000 0.3490 x4  5 Pm 3.18-3.31

Calculated values
The uncorrected formation energy comes out at -1.428 eV/atom.


The following total magnetization values (in μB per cell) correspond, in order, to the records above: 0.0 0.0 1.4 10.1 0.0 0.0 0.0 0.0.
The following raw total energy values (in eV per atom) correspond, in order, to the records above: -2.920 -6.046 -3.152 -6.279 -3.243 -4.743 -2.596 -5.240.